Ga2AsS, relaxed, DFT GGA-PBE; volume = 19.733 Å³ per atom; energy relative to the elements, uncorrected = -0.01 eV/atom; density of states at the Fermi level = 1.28 states/eV/f.u.; crystal system = monoclinic; symmetry = Pm, No. 6
1.0
4.513 0.000 0.000
0.000 3.189 0.000
-0.079 0.000 5.485
Ga As S
2 1 1
direct
0.000 0.000 0.000 Ga
0.493 0.500 0.029 Ga
0.551 0.500 0.521 As
0.946 0.000 0.527 S


GaAs2SeS, relaxed, DFT GGA-PBE; volume = 23.690 Å³ per atom; energy relative to the elements, uncorrected = 0.86 eV/atom; density of states at the Fermi level = 4.90 states/eV/f.u.; crystal system = tetragonal; symmetry = P4/mmm, No. 123
1.0
4.970 0.000 0.000
0.000 4.970 0.000
0.000 0.000 4.795
Ga As Se S
1 2 1 1
direct
0.000 0.000 0.000 Ga
0.000 0.500 0.000 As
0.500 0.000 0.000 As
0.000 0.000 0.500 Se
0.500 0.500 0.500 S


GaAsSe2S, relaxed, DFT GGA-PBE; volume = 23.760 Å³ per atom; energy relative to the elements, uncorrected = 0.50 eV/atom; density of states at the Fermi level = 3.87 states/eV/f.u.; crystal system = tetragonal; symmetry = P4/mmm, No. 123
1.0
4.935 0.000 0.000
0.000 4.935 0.000
0.000 0.000 4.879
Ga As Se S
1 1 2 1
direct
0.000 0.000 0.000 Ga
0.500 0.500 0.000 As
0.000 0.500 0.500 Se
0.500 0.000 0.500 Se
0.500 0.500 0.500 S


GaAsSe2S, relaxed, DFT GGA-PBE; volume = 23.866 Å³ per atom; energy relative to the elements, uncorrected = 0.79 eV/atom; density of states at the Fermi level = 5.20 states/eV/f.u.; crystal system = tetragonal; symmetry = P4/mmm, No. 123
1.0
4.869 0.000 0.000
0.000 4.869 0.000
0.000 0.000 5.034
Ga As Se S
1 1 2 1
direct
0.000 0.000 0.000 Ga
0.000 0.000 0.500 As
0.000 0.500 0.000 Se
0.500 0.000 0.000 Se
0.500 0.500 0.500 S


GaAs2SeS, relaxed, DFT GGA-PBE; volume = 23.389 Å³ per atom; energy relative to the elements, uncorrected = 0.60 eV/atom; density of states at the Fermi level = 5.35 states/eV/f.u.; crystal system = tetragonal; symmetry = P4/mmm, No. 123
1.0
4.868 0.000 0.000
0.000 4.868 0.000
0.000 0.000 4.934
Ga As Se S
1 2 1 1
direct
0.000 0.000 0.000 Ga
0.000 0.500 0.500 As
0.500 0.000 0.500 As
0.500 0.500 0.000 Se
0.500 0.500 0.500 S


GaSnAsS, relaxed, DFT GGA-PBE; volume = 28.214 Å³ per atom; energy relative to the elements, uncorrected = -0.27 eV/atom; density of states at the Fermi level = 0.00 states/eV/f.u.; crystal system = trigonal; symmetry = P3m1, No. 156
1.0
3.918 0.000 0.000
-1.959 3.393 0.000
0.000 0.000 8.488
Ga Sn As S
1 1 1 1
direct
0.000 0.000 0.000 Ga
0.000 0.000 0.686 Sn
0.667 0.333 0.532 As
0.333 0.667 0.110 S


Listing uncorrected energy for the structures above in their given order: -3.72; -3.12; -3.26; -2.97; -3.39; -4.23 eV per atom.